1.
Computed, not measured: a relaxed Rb3Sb2Au3 crystal at the PBE level of DFT.

Cell: 6.6327 6.6327 21.9892 Å, 90.00 90.00 120.00°
Space group R-3m (No. 166, hexagonal axes)
Unique sites:
Rb1 0.0000 0.0000 0.0000 [3 per cell]
Rb2 0.0000 0.0000 0.4182 [6 per cell]
Sb1 0.0000 0.0000 0.2527 [6 per cell]
Au1 0.0000 0.5000 0.5000 [9 per cell]

Output
Its total energy is -0.1135 hartree per atom.



2.
Computed, not measured: a relaxed Rb2Sb2Au crystal at the PBE level of DFT.

Cell: 7.348 7.348 8.129 Å, 90.00 90.00 90.00°
Space group I4/mmm (No. 139)
Unique sites:
Rb1 0.000 0.500 0.250 [4 per cell]
Sb1 0.000 0.000 0.175 [4 per cell]
Au1 0.000 0.000 0.500 [2 per cell]

Output
Its total energy is -0.1029 hartree per atom. The density of states at the Fermi level is 8.74 states/eV per cell.



3.
Computed, not measured: a relaxed RbSb4Au4 crystal at the PBE level of DFT.

Cell: 9.389 9.389 5.744 Å, 90.00 90.00 90.00°
Space group P4_2/n (No. 86, origin choice 2)
Unique sites:
Rb1 0.250 0.250 0.250 [2 per cell]
Sb1 0.106 0.884 0.651 [8 per cell]
Au1 0.050 0.890 0.160 [8 per cell]

Output
Its total energy is -0.1304 hartree per atom. The density of states at the Fermi level is 8.76 states/eV per cell.



4.
Computed, not measured: a relaxed RbSbAu4 crystal at the PBE level of DFT.

Cell: 10.811 6.681 8.814 Å, 90.00 111.20 90.00°
Space group C2/m (No. 12)
Unique sites:
Rb1 0.208 0.000 0.323 [4 per cell]
Sb1 0.030 0.500 0.273 [4 per cell]
Au1 0.000 0.209 0.500 [4 per cell]
Au2 0.109 0.212 0.943 [8 per cell]
Au3 0.231 0.000 0.755 [4 per cell]

Output
The density of states at the Fermi level is 11.11 states/eV per cell. The value obtained for the energy relative to the lowest polymorph listed for this composition is 0.0 kJ/mol of atoms.



5.
Computed, not measured: a relaxed Rb2Sb2Au7 crystal at the PBE level of DFT.

Cell: 11.829 7.756 6.813 Å, 90.00 104.58 90.00°
Space group C2/m (No. 12)
Unique sites:
Rb1 0.000 0.238 0.000 [4 per cell]
Sb1 0.232 0.000 0.671 [4 per cell]
Au1 0.000 0.000 0.500 [2 per cell]
Au2 0.127 0.321 0.565 [8 per cell]
Au3 0.222 0.500 0.926 [4 per cell]

Output
Its total energy is -0.1176 hartree per atom. The density of states at the Fermi level is 6.58 states/eV per cell.



6.
Computed, not measured: a relaxed Rb3Sb2Au crystal at the PBE level of DFT.

Cell: 11.340 10.868 8.627 Å, 90.00 92.14 90.00°
Space group C2/c (No. 15)
Unique sites:
Rb1 0.000 0.091 0.250 [4 per cell]
Rb2 0.167 0.442 0.009 [8 per cell]
Sb1 0.216 0.216 0.657 [8 per cell]
Au1 0.000 0.257 0.750 [4 per cell]

Output
Its total energy is -0.1031 hartree per atom.